--- a ---
# AcTbSmMg (PBE, optimized geometry)
# Density of states at the Fermi level in states/eV per atom: 1.592
data_AcTbSmMg
_cell_length_a 8.1110
_cell_length_b 8.1110
_cell_length_c 8.1110
_cell_angle_alpha 90.00
_cell_angle_beta 90.00
_cell_angle_gamma 90.00
_space_group_name_H-M_alt 'F -4 3 m'
_space_group_IT_number 216
_space_group_name_Hall 'F -4 2 3'
loop_
_atom_site_label
_atom_site_type_symbol
_atom_site_fract_x
_atom_site_fract_y
_atom_site_fract_z
Ac1 Ac 0.0000 0.0000 0.0000
Tb1 Tb 0.2500 0.2500 0.2500
Sm1 Sm 0.2500 0.2500 0.7500
Mg1 Mg 0.0000 0.0000 0.5000

=====

--- b ---
# AcTbSmMg (PBE, optimized geometry)
# Density of states at the Fermi level in states/eV per atom: 1.237
data_AcTbSmMg
_cell_length_a 3.8312
_cell_length_b 3.8312
_cell_length_c 9.0325
_cell_angle_alpha 90.00
_cell_angle_beta 90.00
_cell_angle_gamma 90.00
_space_group_name_H-M_alt 'P 4 m m'
_space_group_IT_number 99
_space_group_name_Hall 'P 4 -2'
loop_
_atom_site_label
_atom_site_type_symbol
_atom_site_fract_x
_atom_site_fract_y
_atom_site_fract_z
Ac1 Ac 0.0000 0.0000 0.0000
Tb1 Tb 0.5000 0.5000 0.2867
Sm1 Sm 0.5000 0.5000 0.7076
Mg1 Mg 0.0000 0.0000 0.4929

=====

Most stable structure among those shown: b.